Mn2VCuO6: optimized geometry, PBE with a Hubbard U.

## Properties
Uncorrected energy in eV per atom: -6.801

Unit cell a=5.150 b=5.150 c=4.753 alpha=90.00 beta=90.00 gamma=90.00
Fractional positions:
1 Mn 0.000 0.500 0.000
2 Mn 0.500 0.000 0.000
3 V 0.000 0.000 0.628
4 Cu 0.500 0.500 0.606
5 O 0.000 0.000 0.272
6 O 0.241 0.241 0.765
7 O 0.241 0.759 0.765
8 O 0.500 0.500 0.215
9 O 0.759 0.241 0.765
10 O 0.759 0.759 0.765